[1]
The following is a DFT calculation (PBE-GGA) of an optimized crystal structure of PmHoU2P4.

formation energy = -10.20 eV/f.u.
density of states at the Fermi level = 8.96 states/eV/f.u.

Cell lengths 6.8783, 3.9717, 6.9984 Å; angles 90.00, 109.14, 90.00 degrees
Sites, in units of the cell vectors:
1 Pm 0.0000 0.0000 0.0000
2 Ho 0.5000 0.5000 0.0000
3 U 0.0000 0.5000 0.5000
4 U 0.5000 0.0000 0.5000
5 P 0.2519 0.0000 0.7427
6 P 0.2581 0.5000 0.2609
7 P 0.7419 0.5000 0.7391
8 P 0.7481 0.0000 0.2573

---

[2]
The following is a DFT calculation (PBE-GGA) of an optimized crystal structure of Pr8Nd4Dy.

formation energy = 5.02 eV/f.u.
density of states at the Fermi level = 27.49 states/eV/f.u.

Cell lengths 7.9533, 7.9533, 7.9533 Å; angles 97.50, 97.50, 97.50 degrees
Sites, in units of the cell vectors:
1 Pr 0.1675 0.1675 0.6691
2 Pr 0.1675 0.6691 0.1675
3 Pr 0.2429 0.2429 0.2429
4 Pr 0.3309 0.8325 0.8325
5 Pr 0.6691 0.1675 0.1675
6 Pr 0.7571 0.7571 0.7571
7 Pr 0.8325 0.3309 0.8325
8 Pr 0.8325 0.8325 0.3309
9 Nd 0.0000 0.0000 0.0000
10 Nd 0.0000 0.5000 0.5000
11 Nd 0.5000 0.0000 0.5000
12 Nd 0.5000 0.5000 0.0000
13 Dy 0.5000 0.5000 0.5000

---

[3]
The following is a DFT calculation (PBE-GGA) of an optimized crystal structure of HfTeRuN2.

raw formation energy = 860 meV per atom
density of states at the Fermi level = 4.24 states/eV/f.u.
distance to the lowest polymorph of the same formula = 0.036 eV per atom

Cell lengths 3.9601, 3.9601, 5.3272 Å; angles 90.00, 90.00, 90.00 degrees
Sites, in units of the cell vectors:
1 Hf 0.0000 0.0000 0.0000
2 Te 0.5000 0.5000 0.0000
3 Ru 0.5000 0.5000 0.5000
4 N 0.0000 0.5000 0.5000
5 N 0.5000 0.0000 0.5000

---

[4]
The following is a DFT calculation (PBE-GGA) of an optimized crystal structure of PuH7Rh5.

density of states at the Fermi level = 14.64 states/eV/f.u.
total energy = -5.865 eV/atom

Cell lengths 5.3423, 5.3423, 5.2220 Å; angles 103.14, 103.14, 116.73 degrees
Sites, in units of the cell vectors:
1 Pu 0.0000 0.0000 0.0000
2 H 0.0155 0.5289 0.9910
3 H 0.0928 0.4712 0.4216
4 H 0.1193 0.1193 0.6048
5 H 0.4712 0.0928 0.4216
6 H 0.5289 0.0155 0.9910
7 H 0.5392 0.5392 0.9423
8 H 0.6761 0.6761 0.4098
9 Rh 0.2887 0.8850 0.6316
10 Rh 0.4250 0.7433 0.1531
11 Rh 0.4423 0.4423 0.5563
12 Rh 0.7433 0.4250 0.1531
13 Rh 0.8850 0.2887 0.6316

---

[5]
The following is a DFT calculation (PBE-GGA) of an optimized crystal structure of Na2FeAs2Pd.

formation energy = -2.34 eV/f.u.
density of states at the Fermi level = 2.78 states/eV/f.u.

Cell lengths 7.9757, 7.9757, 7.9757 Å; angles 136.63, 62.35, 137.49 degrees
Sites, in units of the cell vectors:
1 Na 0.1722 0.2256 0.3978
2 Na 0.3278 0.7256 0.0534
3 Na 0.6722 0.2744 0.9466
4 Na 0.8278 0.7744 0.6022
5 Fe 0.2500 0.7500 0.5000
6 Fe 0.7500 0.2500 0.5000
7 As 0.1008 0.7167 0.8175
8 As 0.3992 0.2167 0.6158
9 As 0.6008 0.7833 0.3842
10 As 0.8992 0.2833 0.1825
11 Pd 0.2500 0.2500 0.0000
12 Pd 0.7500 0.7500 0.0000

---

[6]
The following is a DFT calculation (PBE-GGA) of an optimized crystal structure of Ta2TlRe.

formation energy = 0.82 eV/f.u.
density of states at the Fermi level = 4.17 states/eV/f.u.
distance to the lowest polymorph of the same formula = 0.000 eV per atom

Cell lengths 3.0997, 3.0997, 7.9349 Å; angles 90.00, 90.00, 90.00 degrees
Sites, in units of the cell vectors:
1 Ta 0.0000 0.0000 0.2052
2 Ta 0.0000 0.0000 0.7948
3 Tl 0.5000 0.5000 0.5000
4 Re 0.5000 0.5000 0.0000

---

Question: Among the records above, which one has the highest density of states at the Fermi level?
Answer: Pr8Nd4Dy

---

Repeat the first record exactly.
The following is a DFT calculation (PBE-GGA) of an optimized crystal structure of PmHoU2P4.

formation energy = -10.20 eV/f.u.
density of states at the Fermi level = 8.96 states/eV/f.u.

Cell lengths 6.8783, 3.9717, 6.9984 Å; angles 90.00, 109.14, 90.00 degrees
Sites, in units of the cell vectors:
1 Pm 0.0000 0.0000 0.0000
2 Ho 0.5000 0.5000 0.0000
3 U 0.0000 0.5000 0.5000
4 U 0.5000 0.0000 0.5000
5 P 0.2519 0.0000 0.7427
6 P 0.2581 0.5000 0.2609
7 P 0.7419 0.5000 0.7391
8 P 0.7481 0.0000 0.2573

---

Question: Number 6 is which compound?
Answer: Ta2TlRe

---

Question: What is the density of states at the Fermi level in the third record?
Answer: 4.24 states/eV/f.u.